1.
This record from Alexandria describes a relaxed PrThCd crystal. The functional is PBE.

Properties
Calculated density (g cm⁻³): 8.7

Unit cell a=7.217 b=7.217 c=7.217 alpha=150.10 beta=150.10 gamma=42.79
Atoms (fractional coordinates):
Pr 0.000 0.000 0.000
Th 0.313 0.313 0.000
Cd 0.655 0.655 0.000


2.
This record from Alexandria describes a relaxed Pr4ThCd3 crystal. The functional is PBE.

Properties
Calculated density (g cm⁻³): 7.8

Unit cell a=3.777 b=3.777 c=16.984 alpha=90.00 beta=90.00 gamma=90.00
Atoms (fractional coordinates):
Pr 0.000 0.000 0.118
Pr 0.000 0.000 0.360
Pr 0.000 0.000 0.640
Pr 0.000 0.000 0.882
Th 0.500 0.500 0.500
Cd 0.500 0.500 0.000
Cd 0.500 0.500 0.238
Cd 0.500 0.500 0.762


3.
This record from Alexandria describes a relaxed PrThCd4 crystal. The functional is PBE.

Properties
Calculated density (g cm⁻³): 8.8

Unit cell a=9.500 b=9.500 c=5.120 alpha=90.00 beta=90.00 gamma=137.69
Atoms (fractional coordinates):
Pr 0.125 0.875 0.750
Pr 0.875 0.125 0.250
Th 0.376 0.624 0.250
Th 0.624 0.376 0.750
Cd 0.045 0.462 0.750
Cd 0.214 0.298 0.750
Cd 0.298 0.214 0.250
Cd 0.462 0.045 0.250
Cd 0.538 0.955 0.750
Cd 0.702 0.786 0.750
Cd 0.786 0.702 0.250
Cd 0.955 0.538 0.250


4.
This record from Alexandria describes a relaxed PrThTlCd crystal. The functional is PBE.

Properties
Calculated density (g cm⁻³): 9.7

Unit cell a=5.501 b=5.501 c=5.501 alpha=60.00 beta=60.00 gamma=60.00
Atoms (fractional coordinates):
Pr 0.000 0.000 0.000
Th 0.500 0.500 0.500
Tl 0.750 0.750 0.750
Cd 0.250 0.250 0.250


5.
This record from Alexandria describes a relaxed PrTmThCd crystal. The functional is PBE.

Properties
Calculated density (g cm⁻³): 9.1

Unit cell a=5.536 b=5.536 c=5.536 alpha=60.00 beta=60.00 gamma=60.00
Atoms (fractional coordinates):
Pr 0.000 0.000 0.000
Tm 0.250 0.250 0.250
Th 0.500 0.500 0.500
Cd 0.750 0.750 0.750


6.
This record from Alexandria describes a relaxed PrThZnCd crystal. The functional is PBE.

Properties
Calculated density (g cm⁻³): 8.5

Unit cell a=5.346 b=5.346 c=5.346 alpha=60.00 beta=60.00 gamma=60.00
Atoms (fractional coordinates):
Pr 0.000 0.000 0.000
Th 0.500 0.500 0.500
Zn 0.250 0.250 0.250
Cd 0.750 0.750 0.750


no.,ΔH_f (0 K) (eV/atom)
1,-0.083
2,-0.227
3,-0.255
4,-0.201
5,0.031
6,-0.163